Entry 1:
YAlFePd | PBE | relaxed

Summary:
The calculation puts the total energy at -6.27 eV per atom. As for the energy above the lowest structure with this stoichiometry: 0.000 eV per atom.

Cell lengths 6.492, 6.492, 6.492 Å; angles 90.00, 90.00, 90.00 degrees
Element x y z (fractional)
Y 0.000 0.000 0.000
Y 0.000 0.500 0.500
Y 0.500 0.000 0.500
Y 0.500 0.500 0.000
Al 0.000 0.000 0.500
Al 0.000 0.500 0.000
Al 0.500 0.000 0.000
Al 0.500 0.500 0.500
Fe 0.250 0.250 0.750
Fe 0.250 0.750 0.250
Fe 0.750 0.250 0.250
Fe 0.750 0.750 0.750
Pd 0.250 0.250 0.250
Pd 0.250 0.750 0.750
Pd 0.750 0.250 0.750
Pd 0.750 0.750 0.250

=====

Entry 2:
InFeCuTe | PBE | relaxed

Summary:
The calculation puts the total energy at -4.05 eV per atom. As for the energy above the lowest structure with this stoichiometry: 0.000 eV per atom.

Cell lengths 6.633, 6.633, 6.633 Å; angles 90.00, 90.00, 90.00 degrees
Element x y z (fractional)
In 0.000 0.000 0.000
In 0.000 0.500 0.500
In 0.500 0.000 0.500
In 0.500 0.500 0.000
Fe 0.250 0.250 0.750
Fe 0.250 0.750 0.250
Fe 0.750 0.250 0.250
Fe 0.750 0.750 0.750
Cu 0.250 0.250 0.250
Cu 0.250 0.750 0.750
Cu 0.750 0.250 0.750
Cu 0.750 0.750 0.250
Te 0.000 0.000 0.500
Te 0.000 0.500 0.000
Te 0.500 0.000 0.000
Te 0.500 0.500 0.500

=====

Entry 3:
Mg2Ni3P | PBE | relaxed

Summary:
The calculation puts the total energy at -4.70 eV per atom.

Cell lengths 4.956, 4.956, 7.266 Å; angles 90.00, 90.00, 120.00 degrees
Element x y z (fractional)
Mg 0.333 0.667 0.061
Mg 0.333 0.667 0.439
Mg 0.667 0.333 0.561
Mg 0.667 0.333 0.939
Ni 0.167 0.335 0.750
Ni 0.167 0.833 0.750
Ni 0.335 0.167 0.250
Ni 0.665 0.833 0.750
Ni 0.833 0.167 0.250
Ni 0.833 0.665 0.250
P 0.000 0.000 0.000
P 0.000 0.000 0.500

=====

Entry 4:
LiInPt2 | PBE | relaxed

Summary:
The calculation puts the total energy at -4.62 eV per atom.

Cell lengths 4.572, 4.572, 7.945 Å; angles 90.00, 90.00, 120.00 degrees
Element x y z (fractional)
Li 0.333 0.667 0.250
Li 0.667 0.333 0.750
In 0.000 0.000 0.000
In 0.000 0.000 0.500
Pt 0.333 0.667 0.579
Pt 0.333 0.667 0.921
Pt 0.667 0.333 0.079
Pt 0.667 0.333 0.421

=====

Entry 5:
SmHoPu | PBE | relaxed

Summary:
The calculation puts the total energy at -7.01 eV per atom. As for the energy above the lowest structure with this stoichiometry: 0.000 eV per atom. The formation energy is 0.792 eV/atom.

Cell lengths 7.549, 7.549, 7.549 Å; angles 90.00, 90.00, 90.00 degrees
Element x y z (fractional)
Sm 0.000 0.000 0.000
Sm 0.000 0.500 0.500
Sm 0.500 0.000 0.500
Sm 0.500 0.500 0.000
Ho 0.000 0.000 0.500
Ho 0.000 0.500 0.000
Ho 0.500 0.000 0.000
Ho 0.500 0.500 0.500
Pu 0.250 0.250 0.250
Pu 0.250 0.750 0.750
Pu 0.750 0.250 0.750
Pu 0.750 0.750 0.250

=====

Entry 6:
LiRe2Ge | PBE | relaxed

Summary:
The calculation puts the total energy at -7.82 eV per atom.

Cell lengths 6.043, 6.043, 6.043 Å; angles 90.00, 90.00, 90.00 degrees
Element x y z (fractional)
Li 0.000 0.000 0.000
Li 0.000 0.500 0.500
Li 0.500 0.000 0.500
Li 0.500 0.500 0.000
Re 0.000 0.000 0.500
Re 0.000 0.500 0.000
Re 0.250 0.250 0.250
Re 0.250 0.750 0.750
Re 0.500 0.000 0.000
Re 0.500 0.500 0.500
Re 0.750 0.250 0.750
Re 0.750 0.750 0.250
Ge 0.250 0.250 0.750
Ge 0.250 0.750 0.250
Ge 0.750 0.250 0.250
Ge 0.750 0.750 0.750

=====

Please write out number 1 again, unchanged.
YAlFePd | PBE | relaxed

Summary:
The calculation puts the total energy at -6.27 eV per atom. As for the energy above the lowest structure with this stoichiometry: 0.000 eV per atom.

Cell lengths 6.492, 6.492, 6.492 Å; angles 90.00, 90.00, 90.00 degrees
Element x y z (fractional)
Y 0.000 0.000 0.000
Y 0.000 0.500 0.500
Y 0.500 0.000 0.500
Y 0.500 0.500 0.000
Al 0.000 0.000 0.500
Al 0.000 0.500 0.000
Al 0.500 0.000 0.000
Al 0.500 0.500 0.500
Fe 0.250 0.250 0.750
Fe 0.250 0.750 0.250
Fe 0.750 0.250 0.250
Fe 0.750 0.750 0.750
Pd 0.250 0.250 0.250
Pd 0.250 0.750 0.750
Pd 0.750 0.250 0.750
Pd 0.750 0.750 0.250

=====

- Look up the total energy of the fifth one.
  -7.01 eV per atom